1.
Compound: Zr2W
Source: OQMD via LeMat-Bulk
Functional: PBE-GGA
Structure: relaxed

Calculated values
Excess energy over the best structure of this formula in the dataset   628.4 meV/atom
Energy of formation   2.3 eV/f.u.
VASP energy   -9.2473 eV/atom

Cell lengths 7.8587, 7.8587, 7.8587 Å; angles 90.00, 90.00, 90.00 degrees
Space group Fd-3m (No. 227, origin choice 2)
Asymmetric unit:
Zr 0.0000 0.0000 0.0000
W 0.1250 0.1250 0.6250

---

2.
Compound: Be2InNi
Source: OQMD via LeMat-Bulk
Functional: PBE-GGA
Structure: relaxed

Calculated values
VASP energy   -3.7549 eV/atom

Cell lengths 5.8227, 5.8227, 5.8227 Å; angles 90.00, 90.00, 90.00 degrees
Space group F-43m (No. 216)
Asymmetric unit:
Be 0.0000 0.0000 0.0000
Be 0.2500 0.2500 0.2500
In 0.0000 0.0000 0.5000
Ni 0.2500 0.2500 0.7500

---

3.
Compound: NdCu
Source: OQMD via LeMat-Bulk
Functional: PBE-GGA
Structure: relaxed

Calculated values
Energy of formation   0.2 eV/f.u.
VASP energy   -4.1577 eV/atom

Cell lengths 5.8552, 5.8552, 5.8552 Å; angles 90.00, 90.00, 90.00 degrees
Space group Fm-3m (No. 225)
Asymmetric unit:
Nd 0.0000 0.0000 0.0000
Cu 0.0000 0.0000 0.5000

---

4.
Compound: Rb2Zn2BiSb
Source: OQMD via LeMat-Bulk
Functional: PBE-GGA
Structure: relaxed

Calculated values
Excess energy over the best structure of this formula in the dataset   0.0 meV/atom
VASP energy   -2.4444 eV/atom

Cell lengths 4.6737, 4.6737, 11.3714 Å; angles 90.00, 90.00, 120.00 degrees
Space group P-6m2 (No. 187)
Asymmetric unit:
Rb 0.0000 0.0000 0.2504
Zn 0.3333 0.6667 0.0000
Zn 0.6667 0.3333 0.5000
Bi 0.6667 0.3333 0.0000
Sb 0.3333 0.6667 0.5000

---

5.
Compound: Hf4Ga3Mo2N3
Source: OQMD via LeMat-Bulk
Functional: PBE-GGA
Structure: relaxed

Calculated values
VASP energy   -8.8224 eV/atom

Cell lengths 9.4297, 5.4801, 13.9264 Å; angles 90.00, 102.81, 90.00 degrees
Space group C2/c (No. 15)
Asymmetric unit:
Hf 0.1138 0.0923 0.0932
Hf 0.2238 0.0777 0.4070
Ga 0.0000 0.1197 0.7500
Ga 0.1480 0.4374 0.2522
Mo 0.0461 0.4260 0.9134
N 0.0892 0.2325 0.5000
N 0.2500 0.2500 0.0000

---

6.
Compound: La3MgIr
Source: OQMD via LeMat-Bulk
Functional: PBE-GGA
Structure: relaxed

Calculated values
VASP energy   -5.4212 eV/atom

Cell lengths 6.0096, 6.9785, 8.8641 Å; angles 99.98, 103.31, 114.64 degrees
Space group P-1 (No. 2)
Asymmetric unit:
La 0.0590 0.1767 0.3147
La 0.2832 0.8246 0.0990
La 0.3459 0.4584 0.7670
Mg 0.3363 0.7559 0.4799
Ir 0.2410 0.1733 0.9778

---

7.
Compound: PrTmAsO
Source: OQMD via LeMat-Bulk
Functional: PBE-GGA
Structure: relaxed

Calculated values
Excess energy over the best structure of this formula in the dataset   86.4 meV/atom
VASP energy   -6.6069 eV/atom

Cell lengths 4.1065, 8.1407, 5.5799 Å; angles 90.00, 90.00, 90.00 degrees
Space group Pmc2_1 (No. 26)
Asymmetric unit:
Pr 0.0000 0.1245 0.0000
Tm 0.5000 0.2893 0.4769
As 0.5000 0.3653 0.9733
O 0.0000 0.1783 0.4519

---

8.
Compound: Ac2ErIrO6
Source: OQMD via LeMat-Bulk
Functional: PBE-GGA
Structure: relaxed

Calculated values
VASP energy   -7.8368 eV/atom

Cell lengths 10.0477, 5.7606, 5.9736 Å; angles 90.00, 125.04, 90.00 degrees
Space group C2/m (No. 12)
Asymmetric unit:
Ac 0.2442 0.0000 0.2329
Er 0.0000 0.0000 0.5000
Ir 0.0000 0.5000 0.0000
O 0.0527 0.2551 0.8086
O 0.2417 0.5000 0.3358

---

9.
Compound: PmSmHg
Source: OQMD via LeMat-Bulk
Functional: PBE-GGA
Structure: relaxed

Calculated values
Excess energy over the best structure of this formula in the dataset   0.0 meV/atom
Energy of formation   -1.0 eV/f.u.
VASP energy   -3.5928 eV/atom

Cell lengths 7.1345, 5.2366, 9.5054 Å; angles 90.00, 90.00, 90.00 degrees
Space group Pnma (No. 62)
Asymmetric unit:
Pm 0.1730 0.2500 0.0766
Sm 0.0137 0.2500 0.6947
Hg 0.2333 0.2500 0.3998

---

10.
Compound: ErHO2
Source: OQMD via LeMat-Bulk
Functional: PBE-GGA
Structure: relaxed

Calculated values
VASP energy   -7.0856 eV/atom

Cell lengths 3.4429, 3.4429, 13.9318 Å; angles 90.00, 90.00, 120.00 degrees
Space group R3m (No. 160, hexagonal axes)
Asymmetric unit:
Er 0.0000 0.0000 0.0000
H 0.0000 0.0000 0.4924
O 0.0000 0.0000 0.4172
O 0.0000 0.0000 0.5979

---

11.
Compound: TbHo3Pd4
Source: OQMD via LeMat-Bulk
Functional: PBE-GGA
Structure: relaxed

Calculated values
Energy of formation   -7.5 eV/f.u.
VASP energy   -5.8194 eV/atom

Cell lengths 5.5873, 4.5532, 6.9093 Å; angles 90.00, 90.23, 90.00 degrees
Space group Pm (No. 6)
Asymmetric unit:
Tb 0.0000 0.0000 0.0000
Ho 0.2137 0.0000 0.4995
Ho 0.4993 0.5000 0.1358
Ho 0.7127 0.5000 0.6353
Pd 0.0124 0.5000 0.2799
Pd 0.2019 0.5000 0.7725
Pd 0.5122 0.0000 0.8585
Pd 0.6992 0.0000 0.3604

---

12.
Compound: SmErTe
Source: OQMD via LeMat-Bulk
Functional: PBE-GGA
Structure: relaxed

Calculated values
Excess energy over the best structure of this formula in the dataset   0.0 meV/atom
VASP energy   -4.6436 eV/atom

Cell lengths 7.1886, 7.1886, 7.1886 Å; angles 90.00, 90.00, 90.00 degrees
Space group F-43m (No. 216)
Asymmetric unit:
Sm 0.0000 0.0000 0.0000
Er 0.0000 0.0000 0.5000
Te 0.2500 0.2500 0.7500

---

Copy entry 2 word for word.
Compound: Be2InNi
Source: OQMD via LeMat-Bulk
Functional: PBE-GGA
Structure: relaxed

Calculated values
VASP energy   -3.7549 eV/atom

Cell lengths 5.8227, 5.8227, 5.8227 Å; angles 90.00, 90.00, 90.00 degrees
Space group F-43m (No. 216)
Asymmetric unit:
Be 0.0000 0.0000 0.0000
Be 0.2500 0.2500 0.2500
In 0.0000 0.0000 0.5000
Ni 0.2500 0.2500 0.7500